Bi17W3O33 after structural relaxation. Source: Alexandria, functional PBE with a Hubbard U.

## Properties
size of the total moment: 0.999 μB per cell
calculated total energy: -6.12 eV/atom

The structure in POSCAR format:
```
Bi17W3O33
1.0
10.2513 0.0000 0.0000
-2.2705 10.0581 0.0000
-4.2444 -4.4531 8.3673
Bi W O
17 3 33
Direct
0.0000 0.0000 0.0000
0.0013 0.9239 0.3407
0.0922 0.8090 0.6993
0.1653 0.6294 0.3770
0.2281 0.5216 0.7580
0.2777 0.4081 0.0955
0.3471 0.3087 0.4564
0.3889 0.2184 0.7877
0.4159 0.1171 0.1228
0.4469 0.9964 0.4714
0.5001 0.8821 0.7942
0.5706 0.8122 0.1935
0.6548 0.6095 0.8794
0.7027 0.5138 0.2384
0.7539 0.3961 0.5571
0.8023 0.2810 0.9535
0.9516 0.1090 0.6357
0.0903 0.6988 0.0285
0.5834 0.6932 0.5029
0.8772 0.2142 0.2760
0.0160 0.3331 0.4996
0.0197 0.9917 0.7748
0.0339 0.1385 0.2553
0.0431 0.7684 0.4547
0.1749 0.8996 0.0212
0.1879 0.3114 0.8247
0.1987 0.8171 0.2731
0.2334 0.1971 0.1315
0.2495 0.6645 0.6283
0.2724 0.6701 0.0503
0.2941 0.1028 0.5127
0.3211 0.9875 0.8188
0.3863 0.4263 0.7200
0.3876 0.5113 0.3923
0.4294 0.7993 0.5239
0.4556 0.3245 0.0864
0.4902 0.7313 0.9391
0.4943 0.2018 0.3796
0.5171 0.6093 0.2462
0.5552 0.1018 0.7392
0.6107 0.4196 0.6606
0.6411 0.7396 0.7272
0.6540 0.3977 0.9732
0.7009 0.8679 0.5158
0.7143 0.2816 0.2844
0.7182 0.5739 0.4919
0.7457 0.1082 0.0334
0.7472 0.7289 0.1971
0.7831 0.0357 0.2819
0.9300 0.7848 0.0301
0.9474 0.3840 0.2308
0.9842 0.5969 0.8013
0.9941 0.5349 0.0458
```